# SrVN | Alexandria via LeMat-Bulk | PBE-GGA | relaxed
# Total moment, μB/f.u.: 0.53
# Crystal system: monoclinic
# Total DFT energy (no corrections), eV for the cell shown: -80.9
data_SrVN
_symmetry_space_group_name_H-M 'C 1 m 1'
_symmetry_Int_Tables_number 8
_cell_length_a 12.465
_cell_length_b 3.296
_cell_length_c 5.386
_cell_angle_alpha 90.00
_cell_angle_beta 98.47
_cell_angle_gamma 90.00
loop_
_symmetry_equiv_pos_as_xyz
'x,y,z'
'x,-y,z'
'x+1/2,y+1/2,z'
'x+1/2,-y+1/2,z'
loop_
_atom_site_label
_atom_site_fract_x
_atom_site_fract_y
_atom_site_fract_z
Sr1 0.000 0.000 0.000
Sr2 0.188 0.500 0.570
V1 0.291 0.000 0.078
V2 0.420 0.000 0.483
N1 0.001 0.000 0.500
N2 0.346 0.000 0.783

=====

# SrVN3 | Alexandria via LeMat-Bulk | PBE-GGA | relaxed
# Total moment, μB/f.u.: 0.98
# Crystal system: cubic
# Total DFT energy (no corrections), eV for the cell shown: -24.0
data_SrVN3
_symmetry_space_group_name_H-M 'P m -3 m'
_symmetry_Int_Tables_number 221
_symmetry_space_group_name_Hall '-P 4 2 3'
_cell_length_a 4.326
_cell_length_b 4.326
_cell_length_c 4.326
_cell_angle_alpha 90.00
_cell_angle_beta 90.00
_cell_angle_gamma 90.00
loop_
_atom_site_label
_atom_site_fract_x
_atom_site_fract_y
_atom_site_fract_z
Sr1 0.000 0.000 0.000
V1 0.500 0.500 0.500
N1 0.000 0.000 0.500

=====

# SrVN | Alexandria via LeMat-Bulk | PBE-GGA | relaxed
# Total moment, μB/f.u.: 0.89
# Crystal system: monoclinic
# Total DFT energy (no corrections), eV for the cell shown: -80.7
data_SrVN
_symmetry_space_group_name_H-M 'C 1 m 1'
_symmetry_Int_Tables_number 8
_cell_length_a 10.520
_cell_length_b 3.545
_cell_length_c 6.470
_cell_angle_alpha 90.00
_cell_angle_beta 104.57
_cell_angle_gamma 90.00
loop_
_symmetry_equiv_pos_as_xyz
'x,y,z'
'x,-y,z'
'x+1/2,y+1/2,z'
'x+1/2,-y+1/2,z'
loop_
_atom_site_label
_atom_site_fract_x
_atom_site_fract_y
_atom_site_fract_z
Sr1 0.000 0.000 0.000
Sr2 0.192 0.000 0.646
V1 0.255 0.500 0.245
V2 0.442 0.000 0.425
N1 0.103 0.500 0.331
N2 0.481 0.000 0.701

=====

# SrVW2N | Alexandria via LeMat-Bulk | PBE-GGA | relaxed
# Total moment, μB/f.u.: 0.00
# Crystal system: tetragonal
# Total DFT energy (no corrections), eV for the cell shown: -33.7
data_SrVW2N
_symmetry_space_group_name_H-M 'P 4/m m m'
_symmetry_Int_Tables_number 123
_symmetry_space_group_name_Hall '-P 4 2'
_cell_length_a 4.399
_cell_length_b 4.399
_cell_length_c 6.099
_cell_angle_alpha 90.00
_cell_angle_beta 90.00
_cell_angle_gamma 90.00
loop_
_atom_site_label
_atom_site_fract_x
_atom_site_fract_y
_atom_site_fract_z
Sr1 0.000 0.000 0.000
V1 0.000 0.000 0.500
W1 0.000 0.500 0.500
N1 0.500 0.500 0.000

=====

# SrVW2N | Alexandria via LeMat-Bulk | PBE-GGA | relaxed
# Total moment, μB/f.u.: 0.00
# Crystal system: tetragonal
# Total DFT energy (no corrections), eV for the cell shown: -41.9
data_SrVW2N
_symmetry_space_group_name_H-M 'P 4/m m m'
_symmetry_Int_Tables_number 123
_symmetry_space_group_name_Hall '-P 4 2'
_cell_length_a 4.269
_cell_length_b 4.269
_cell_length_c 4.393
_cell_angle_alpha 90.00
_cell_angle_beta 90.00
_cell_angle_gamma 90.00
loop_
_atom_site_label
_atom_site_fract_x
_atom_site_fract_y
_atom_site_fract_z
Sr1 0.000 0.000 0.000
V1 0.500 0.500 0.000
W1 0.000 0.500 0.500
N1 0.500 0.500 0.500

=====

# SrY2VN4 | Alexandria via LeMat-Bulk | PBE-GGA | relaxed
# Total moment, μB/f.u.: 0.67
# Crystal system: orthorhombic
# Total DFT energy (no corrections), eV for the cell shown: -270.2
data_SrY2VN4
_symmetry_space_group_name_H-M 'C m c m'
_symmetry_Int_Tables_number 63
_symmetry_space_group_name_Hall '-C 2c 2'
_cell_length_a 3.441
_cell_length_b 11.975
_cell_length_c 11.821
_cell_angle_alpha 90.00
_cell_angle_beta 90.00
_cell_angle_gamma 90.00
loop_
_atom_site_label
_atom_site_fract_x
_atom_site_fract_y
_atom_site_fract_z
Sr1 0.000 0.092 0.250
Y1 0.000 0.371 0.041
V1 0.000 0.175 0.750
N1 0.000 0.000 0.000
N2 0.000 0.260 0.623
N3 0.000 0.406 0.250

=====

# Sr3W5N12 | Alexandria via LeMat-Bulk | PBE-GGA | relaxed
# Total moment, μB/f.u.: 0.00
# Crystal system: cubic
# Total DFT energy (no corrections), eV for the cell shown: -1456.9
data_Sr3W5N12
_symmetry_space_group_name_H-M 'I a -3 d'
_symmetry_Int_Tables_number 230
_symmetry_space_group_name_Hall '-I 4bd 2c 3'
_cell_length_a 13.174
_cell_length_b 13.174
_cell_length_c 13.174
_cell_angle_alpha 90.00
_cell_angle_beta 90.00
_cell_angle_gamma 90.00
loop_
_atom_site_label
_atom_site_fract_x
_atom_site_fract_y
_atom_site_fract_z
Sr1 0.000 0.250 0.125
W1 0.000 0.000 0.000
W2 0.000 0.250 0.375
N1 0.037 0.041 0.645

=====

# SrWN3 | Alexandria via LeMat-Bulk | PBE-GGA | relaxed
# Total moment, μB/f.u.: 0.00
# Crystal system: triclinic
# Total DFT energy (no corrections), eV for the cell shown: -85.7
data_SrWN3
_symmetry_space_group_name_H-M 'P 1'
_symmetry_Int_Tables_number 1
_cell_length_a 3.695
_cell_length_b 6.403
_cell_length_c 6.723
_cell_angle_alpha 110.43
_cell_angle_beta 96.77
_cell_angle_gamma 90.94
loop_
_symmetry_equiv_pos_as_xyz
'x,y,z'
loop_
_atom_site_label
_atom_site_fract_x
_atom_site_fract_y
_atom_site_fract_z
Sr1 0.000 0.000 0.000
Sr2 0.070 0.531 0.468
W1 0.511 0.500 0.995
W2 0.591 0.022 0.489
N1 0.117 0.044 0.624
N2 0.416 0.160 0.787
N3 0.492 0.672 0.832
N4 0.544 0.723 0.305
N5 0.551 0.196 0.328
N6 0.997 0.430 0.047

=====

# Sr3WN4 | Alexandria via LeMat-Bulk | PBE-GGA | relaxed
# Total moment, μB/f.u.: 0.00
# Crystal system: orthorhombic
# Total DFT energy (no corrections), eV for the cell shown: -235.1
data_Sr3WN4
_symmetry_space_group_name_H-M 'P n m a'
_symmetry_Int_Tables_number 62
_cell_length_a 7.742
_cell_length_b 8.628
_cell_length_c 8.502
_cell_angle_alpha 90.00
_cell_angle_beta 90.00
_cell_angle_gamma 90.00
loop_
_symmetry_equiv_pos_as_xyz
'x,y,z'
'-x,-y,-z'
'-x+1/2,-y,z+1/2'
'x+1/2,y,-z+1/2'
'x+1/2,-y+1/2,-z+1/2'
'-x+1/2,y+1/2,z+1/2'
'-x,y+1/2,-z'
'x,-y+1/2,z'
loop_
_atom_site_label
_atom_site_fract_x
_atom_site_fract_y
_atom_site_fract_z
Sr1 0.044 0.030 0.225
Sr2 0.168 0.750 0.480
W1 0.219 0.750 0.993
N1 0.009 0.250 0.929
N2 0.170 0.066 0.556
N3 0.210 0.750 0.768

=====

# SrWN3 | Alexandria via LeMat-Bulk | PBE-GGA | relaxed
# Total moment, μB/f.u.: 0.00
# Crystal system: orthorhombic
# Total DFT energy (no corrections), eV for the cell shown: -169.5
data_SrWN3
_symmetry_space_group_name_H-M 'C m m 2'
_symmetry_Int_Tables_number 35
_cell_length_a 6.841
_cell_length_b 7.626
_cell_length_c 5.432
_cell_angle_alpha 90.00
_cell_angle_beta 90.00
_cell_angle_gamma 90.00
loop_
_symmetry_equiv_pos_as_xyz
'x,y,z'
'-x,-y,z'
'-x,y,z'
'x,-y,z'
'x+1/2,y+1/2,z'
'-x+1/2,-y+1/2,z'
'-x+1/2,y+1/2,z'
'x+1/2,-y+1/2,z'
loop_
_atom_site_label
_atom_site_fract_x
_atom_site_fract_y
_atom_site_fract_z
Sr1 0.000 0.000 0.000
Sr2 0.000 0.500 0.009
W1 0.250 0.250 0.466
N1 0.000 0.170 0.589
N2 0.108 0.500 0.532
N3 0.250 0.250 0.130

=====

# SrWN2 | Alexandria via LeMat-Bulk | PBE-GGA | relaxed
# Total moment, μB/f.u.: 0.01
# Crystal system: orthorhombic
# Total DFT energy (no corrections), eV for the cell shown: -131.0
data_SrWN2
_symmetry_space_group_name_H-M 'C m c m'
_symmetry_Int_Tables_number 63
_symmetry_space_group_name_Hall '-C 2c 2'
_cell_length_a 6.103
_cell_length_b 9.082
_cell_length_c 5.363
_cell_angle_alpha 90.00
_cell_angle_beta 90.00
_cell_angle_gamma 90.00
loop_
_atom_site_label
_atom_site_fract_x
_atom_site_fract_y
_atom_site_fract_z
Sr1 0.000 0.152 0.250
W1 0.000 0.500 0.000
N1 0.222 0.434 0.250

=====

# SrWN3 | Alexandria via LeMat-Bulk | PBE-GGA | relaxed
# Total moment, μB/f.u.: 0.00
# Crystal system: orthorhombic
# Total DFT energy (no corrections), eV for the cell shown: -339.2
data_SrWN3
_symmetry_space_group_name_H-M 'F m m 2'
_symmetry_Int_Tables_number 42
_symmetry_space_group_name_Hall 'F 2 -2'
_cell_length_a 6.812
_cell_length_b 7.635
_cell_length_c 10.893
_cell_angle_alpha 90.00
_cell_angle_beta 90.00
_cell_angle_gamma 90.00
loop_
_atom_site_label
_atom_site_fract_x
_atom_site_fract_y
_atom_site_fract_z
Sr1 0.000 0.000 0.000
Sr2 0.000 0.000 0.487
W1 0.250 0.250 0.225
N1 0.000 0.171 0.789
N2 0.108 0.000 0.256
N3 0.250 0.250 0.058

=====

# SrWN3 | Alexandria via LeMat-Bulk | PBE-GGA | relaxed
# Total moment, μB/f.u.: 0.00
# Crystal system: triclinic
# Total DFT energy (no corrections), eV for the cell shown: -85.1
data_SrWN3
_symmetry_space_group_name_H-M 'P 1'
_symmetry_Int_Tables_number 1
_cell_length_a 3.679
_cell_length_b 5.186
_cell_length_c 7.770
_cell_angle_alpha 90.17
_cell_angle_beta 95.56
_cell_angle_gamma 91.03
loop_
_symmetry_equiv_pos_as_xyz
'x,y,z'
loop_
_atom_site_label
_atom_site_fract_x
_atom_site_fract_y
_atom_site_fract_z
Sr1 0.000 0.000 0.000
Sr2 0.034 0.966 0.520
W1 0.497 0.584 0.248
W2 0.577 0.458 0.743
N1 0.099 0.592 0.764
N2 0.529 0.933 0.241
N3 0.540 0.524 0.489
N4 0.565 0.108 0.733
N5 0.693 0.461 0.022
N6 0.981 0.496 0.156

=====

# Sr3WN | Alexandria via LeMat-Bulk | PBE-GGA | relaxed
# Total moment, μB/f.u.: 1.79
# Crystal system: cubic
# Total DFT energy (no corrections), eV for the cell shown: -17.2
data_Sr3WN
_symmetry_space_group_name_H-M 'P m -3 m'
_symmetry_Int_Tables_number 221
_symmetry_space_group_name_Hall '-P 4 2 3'
_cell_length_a 5.744
_cell_length_b 5.744
_cell_length_c 5.744
_cell_angle_alpha 90.00
_cell_angle_beta 90.00
_cell_angle_gamma 90.00
loop_
_atom_site_label
_atom_site_fract_x
_atom_site_fract_y
_atom_site_fract_z
Sr1 0.000 0.000 0.500
W1 0.000 0.000 0.000
N1 0.500 0.500 0.500

=====

# SrWN3 | Alexandria via LeMat-Bulk | PBE-GGA | relaxed
# Total moment, μB/f.u.: 0.00
# Crystal system: tetragonal
# Total DFT energy (no corrections), eV for the cell shown: -163.8
data_SrWN3
_symmetry_space_group_name_H-M 'I -4 m 2'
_symmetry_Int_Tables_number 119
_symmetry_space_group_name_Hall 'I -4 -2'
_cell_length_a 4.092
_cell_length_b 4.092
_cell_length_c 19.225
_cell_angle_alpha 90.00
_cell_angle_beta 90.00
_cell_angle_gamma 90.00
loop_
_atom_site_label
_atom_site_fract_x
_atom_site_fract_y
_atom_site_fract_z
Sr1 0.000 0.000 0.095
W1 0.000 0.000 0.500
W2 0.000 0.500 0.250
N1 0.000 0.158 0.316
N2 0.000 0.500 0.506

=====

# SrWN3 | Alexandria via LeMat-Bulk | PBE-GGA | relaxed
# Total moment, μB/f.u.: 0.00
# Crystal system: monoclinic
# Total DFT energy (no corrections), eV for the cell shown: -170.8
data_SrWN3
_symmetry_space_group_name_H-M 'C 1 m 1'
_symmetry_Int_Tables_number 8
_cell_length_a 12.907
_cell_length_b 3.807
_cell_length_c 6.955
_cell_angle_alpha 90.00
_cell_angle_beta 115.40
_cell_angle_gamma 90.00
loop_
_symmetry_equiv_pos_as_xyz
'x,y,z'
'x,-y,z'
'x+1/2,y+1/2,z'
'x+1/2,-y+1/2,z'
loop_
_atom_site_label
_atom_site_fract_x
_atom_site_fract_y
_atom_site_fract_z
Sr1 0.000 0.000 0.000
Sr2 0.219 0.000 0.525
W1 0.284 0.500 0.170
W2 0.489 0.000 0.522
N1 0.150 0.500 0.692
N2 0.156 0.500 0.221
N3 0.244 0.500 0.876
N4 0.329 0.000 0.251
N5 0.439 0.000 0.727
N6 0.475 0.500 0.393

=====

# SrWN2 | Alexandria via LeMat-Bulk | PBE-GGA | relaxed
# Total moment, μB/f.u.: 0.00
# Crystal system: tetragonal
# Total DFT energy (no corrections), eV for the cell shown: -31.2
data_SrWN2
_symmetry_space_group_name_H-M 'P 4/m m m'
_symmetry_Int_Tables_number 123
_symmetry_space_group_name_Hall '-P 4 2'
_cell_length_a 2.802
_cell_length_b 2.802
_cell_length_c 6.079
_cell_angle_alpha 90.00
_cell_angle_beta 90.00
_cell_angle_gamma 90.00
loop_
_atom_site_label
_atom_site_fract_x
_atom_site_fract_y
_atom_site_fract_z
Sr1 0.000 0.000 0.000
W1 0.000 0.000 0.500
N1 0.500 0.500 0.301

=====

# Sr3WN | Alexandria via LeMat-Bulk | PBE-GGA | relaxed
# Total moment, μB/f.u.: 4.49
# Crystal system: cubic
# Total DFT energy (no corrections), eV for the cell shown: -23.2
data_Sr3WN
_symmetry_space_group_name_H-M 'P m -3 m'
_symmetry_Int_Tables_number 221
_symmetry_space_group_name_Hall '-P 4 2 3'
_cell_length_a 5.256
_cell_length_b 5.256
_cell_length_c 5.256
_cell_angle_alpha 90.00
_cell_angle_beta 90.00
_cell_angle_gamma 90.00
loop_
_atom_site_label
_atom_site_fract_x
_atom_site_fract_y
_atom_site_fract_z
Sr1 0.000 0.000 0.500
W1 0.500 0.500 0.500
N1 0.000 0.000 0.000

=====

# Sr2WN | Alexandria via LeMat-Bulk | PBE-GGA | relaxed
# Total moment, μB/f.u.: 0.00
# Crystal system: tetragonal
# Total DFT energy (no corrections), eV for the cell shown: -96.8
data_Sr2WN
_symmetry_space_group_name_H-M 'I -4 2 d'
_symmetry_Int_Tables_number 122
_symmetry_space_group_name_Hall 'I -4 2bw'
_cell_length_a 10.714
_cell_length_b 10.714
_cell_length_c 3.950
_cell_angle_alpha 90.00
_cell_angle_beta 90.00
_cell_angle_gamma 90.00
loop_
_atom_site_label
_atom_site_fract_x
_atom_site_fract_y
_atom_site_fract_z
Sr1 0.068 0.250 0.125
W1 0.000 0.000 0.500
N1 0.000 0.000 0.000